! Te3PtBr | the Alexandria database | PBEsol | optimized geometry; values from VASP
&SYSTEM
  ibrav = 0, nat = 5, ntyp = 3
/
ATOMIC_SPECIES
Te 127.60 Te.upf
Br 79.90 Br.upf
Pt 195.08 Pt.upf
ATOMIC_POSITIONS angstrom
Te 0.0000 2.6318 0.0000
Te 0.0000 0.0000 2.6318
Te 2.6318 0.0000 0.0000
Br 2.6318 2.6318 2.6318
Pt 0.0000 0.0000 0.0000
CELL_PARAMETERS angstrom
5.2636 0.0000 0.0000
0.0000 5.2636 0.0000
0.0000 0.0000 5.2636
! E_form (uncorrected) = 0.370 eV per atom
! spin magnetization = 0.0 μB/cell
! D(E_F) = 7.86 states/eV/cell

=====

! Te2PtBr | the Alexandria database | PBEsol | optimized geometry; values from VASP
&SYSTEM
  ibrav = 0, nat = 4, ntyp = 3
/
ATOMIC_SPECIES
Te 127.60 Te.upf
Br 79.90 Br.upf
Pt 195.08 Pt.upf
ATOMIC_POSITIONS angstrom
Te 0.0000 0.0000 7.2272
Te 1.7681 1.7681 1.9730
Br 0.0000 0.0000 4.5886
Pt 1.7681 1.7681 8.1745
CELL_PARAMETERS angstrom
3.5363 0.0000 0.0000
0.0000 3.5363 0.0000
0.0000 0.0000 8.7854
! E_form (uncorrected) = 0.034 eV per atom
! spin magnetization = 0.0 μB/cell
! D(E_F) = 2.35 states/eV/cell

=====

! Tl3PtBr | the Alexandria database | PBEsol | optimized geometry; values from VASP
&SYSTEM
  ibrav = 0, nat = 5, ntyp = 3
/
ATOMIC_SPECIES
Tl 204.38 Tl.upf
Pt 195.08 Pt.upf
Br 79.90 Br.upf
ATOMIC_POSITIONS angstrom
Tl 2.6373 0.0000 2.6373
Tl 2.6373 2.6373 0.0000
Tl 0.0000 2.6373 2.6373
Pt 2.6373 2.6373 2.6373
Br 0.0000 0.0000 0.0000
CELL_PARAMETERS angstrom
5.2746 0.0000 0.0000
0.0000 5.2746 0.0000
0.0000 0.0000 5.2746
! E_form (uncorrected) = -0.348 eV per atom
! spin magnetization = 0.0 μB/cell
! D(E_F) = 0.42 states/eV/cell

=====

! TlPt2Br | the Alexandria database | PBEsol | optimized geometry; values from VASP
&SYSTEM
  ibrav = 0, nat = 4, ntyp = 3
/
ATOMIC_SPECIES
Tl 204.38 Tl.upf
Br 79.90 Br.upf
Pt 195.08 Pt.upf
ATOMIC_POSITIONS angstrom
Tl 2.9067 1.0693 1.3423
Br 3.7299 3.9075 2.7662
Pt 0.3990 0.1468 0.1843
Pt 0.0502 2.5539 1.0670
CELL_PARAMETERS angstrom
-0.3715 3.0483 -1.6239
-1.7266 1.2506 2.7426
6.1226 2.2523 2.8273
! offset from the most stable computed form = 0.00 kcal/mol of atoms
! E_form (uncorrected) = 0.270 eV per atom
! spin magnetization = 0.0 μB/cell
! D(E_F) = 2.34 states/eV/cell

=====

! TlPt2Br | the Alexandria database | PBEsol | optimized geometry; values from VASP
&SYSTEM
  ibrav = 0, nat = 4, ntyp = 3
/
ATOMIC_SPECIES
Tl 204.38 Tl.upf
Br 79.90 Br.upf
Pt 195.08 Pt.upf
ATOMIC_POSITIONS angstrom
Tl -0.2589 -1.2651 -2.4702
Br 1.9292 -2.3340 -0.5795
Pt 0.0000 0.0000 0.0000
Pt -0.7057 -3.0010 0.0383
CELL_PARAMETERS angstrom
-2.8938 -1.9321 -1.8524
2.3759 -0.5981 -3.0880
1.7415 -2.8048 4.3992
! offset from the most stable computed form = 3.53 kcal/mol of atoms
! E_form (uncorrected) = 0.424 eV per atom
! spin magnetization = 0.0 μB/cell
! D(E_F) = 1.14 states/eV/cell

=====

! Pt2WBr | the Alexandria database | PBEsol | optimized geometry; values from VASP
&SYSTEM
  ibrav = 0, nat = 4, ntyp = 3
/
ATOMIC_SPECIES
Br 79.90 Br.upf
W 183.84 W.upf
Pt 195.08 Pt.upf
ATOMIC_POSITIONS angstrom
Br 0.0000 1.4691 0.0000
W 1.4033 1.4691 4.1687
Pt 0.0000 0.0000 2.3843
Pt 0.0000 0.0000 5.9531
CELL_PARAMETERS angstrom
2.8065 0.0000 0.0000
0.0000 2.9381 0.0000
0.0000 0.0000 8.3374
! offset from the most stable computed form = 0.00 kcal/mol of atoms
! E_form (uncorrected) = 0.039 eV per atom
! spin magnetization = 0.0 μB/cell
! D(E_F) = 2.37 states/eV/cell

=====

! PtWBr | the Alexandria database | PBEsol | optimized geometry; values from VASP
&SYSTEM
  ibrav = 0, nat = 3, ntyp = 3
/
ATOMIC_SPECIES
Br 79.90 Br.upf
W 183.84 W.upf
Pt 195.08 Pt.upf
ATOMIC_POSITIONS angstrom
Br 1.4811 1.4811 5.8302
W 0.0000 0.0000 4.1037
Pt 1.4811 1.4811 2.4780
CELL_PARAMETERS angstrom
2.9623 0.0000 0.0000
0.0000 2.9623 0.0000
-1.4811 -1.4811 6.2059
! E_form (uncorrected) = 0.359 eV per atom
! spin magnetization = 0.0 μB/cell
! D(E_F) = 2.66 states/eV/cell

=====

! Pt2WBr | the Alexandria database | PBEsol | optimized geometry; values from VASP
&SYSTEM
  ibrav = 0, nat = 4, ntyp = 3
/
ATOMIC_SPECIES
Br 79.90 Br.upf
W 183.84 W.upf
Pt 195.08 Pt.upf
ATOMIC_POSITIONS angstrom
Br -1.1077 -3.1460 0.3963
W 0.8190 -1.9055 1.8924
Pt 0.0000 0.0000 0.0000
Pt -2.2835 -0.7625 1.3013
CELL_PARAMETERS angstrom
-0.3568 0.4780 2.7975
-4.2102 -2.0031 -0.1948
1.9949 -4.2890 0.9874
! offset from the most stable computed form = 16.43 kcal/mol of atoms
! E_form (uncorrected) = 0.752 eV per atom
! spin magnetization = 0.0 μB/cell
! D(E_F) = 5.21 states/eV/cell

=====

> Look up the D(E_F) of the eighth one.

5.21 states/eV/cell

=====

> What is the D(E_F) in the fourth record?

2.34 states/eV/cell

=====

> Which formula does entry 6 have?

Pt2WBr

=====

What did the seventh record say?
! PtWBr | the Alexandria database | PBEsol | optimized geometry; values from VASP
&SYSTEM
  ibrav = 0, nat = 3, ntyp = 3
/
ATOMIC_SPECIES
Br 79.90 Br.upf
W 183.84 W.upf
Pt 195.08 Pt.upf
ATOMIC_POSITIONS angstrom
Br 1.4811 1.4811 5.8302
W 0.0000 0.0000 4.1037
Pt 1.4811 1.4811 2.4780
CELL_PARAMETERS angstrom
2.9623 0.0000 0.0000
0.0000 2.9623 0.0000
-1.4811 -1.4811 6.2059
! E_form (uncorrected) = 0.359 eV per atom
! spin magnetization = 0.0 μB/cell
! D(E_F) = 2.66 states/eV/cell